[1]
Below is a geometry-optimized Cr2RePb structure, with properties calculated at the PBEsol level.

Cell lengths 2.9556, 2.9556, 7.3358 Å; angles 90.00, 90.00, 90.00 degrees
Space group P4mm (No. 99)
Inequivalent atoms, fractional coordinates:
Cr 0.0000 0.0000 0.0000
Cr 0.5000 0.5000 0.1989
Re 0.0000 0.0000 0.3875
Pb 0.5000 0.5000 0.6950

ΔE_f: 0.636 eV/atom

[2]
Below is a geometry-optimized TcPBr2 structure, with properties calculated at the PBEsol level.

Cell lengths 3.1446, 3.1446, 26.7893 Å; angles 90.00, 90.00, 120.00 degrees
Space group R-3m (No. 166, hexagonal axes)
Inequivalent atoms, fractional coordinates:
Tc 0.0000 0.0000 0.0000
P 0.0000 0.0000 0.5000
Br 0.0000 0.0000 0.2662

Relative energy among the computed polymorphs: 661.6 meV/atom
Formation energy without anion corrections: 14.208 kcal/mol of atoms

[3]
Below is a geometry-optimized Ti2Ni21B6 structure, with properties calculated at the PBEsol level.

Cell lengths 10.3561, 10.3561, 10.3561 Å; angles 90.00, 90.00, 90.00 degrees
Space group Fm-3m (No. 225)
Inequivalent atoms, fractional coordinates:
Ti 0.2500 0.2500 0.2500
Ni 0.0000 0.0000 0.0000
Ni 0.0000 0.1700 0.1700
Ni 0.1171 0.1171 0.3829
B 0.0000 0.0000 0.2695

ΔE_f: -0.411 eV/atom

[4]
Below is a geometry-optimized Pr4Ho11S22 structure, with properties calculated at the PBEsol level.

Cell lengths 38.6383, 3.9023, 11.2422 Å; angles 90.00, 91.79, 90.00 degrees
Space group C2/m (No. 12)
Inequivalent atoms, fractional coordinates:
Pr 0.1047 0.0000 0.0119
Pr 0.1321 0.5000 0.6487
Ho 0.0000 0.0000 0.0000
Ho 0.0383 0.5000 0.7306
Ho 0.0708 0.0000 0.3588
Ho 0.1583 0.5000 0.2998
Ho 0.2023 0.0000 0.9408
Ho 0.2357 0.5000 0.6480
S 0.0084 0.0000 0.2399
S 0.0472 0.5000 0.9705
S 0.0587 0.5000 0.5100
S 0.0875 0.0000 0.7551
S 0.0929 0.5000 0.2103
S 0.1362 0.0000 0.4517
S 0.1499 0.5000 0.9057
S 0.1691 0.0000 0.1494
S 0.1883 0.0000 0.6904
S 0.2203 0.5000 0.4097
S 0.2456 0.5000 0.8803

Formation energy without anion corrections: -49.411 kcal/mol of atoms

[5]
Below is a geometry-optimized Y2CrFe structure, with properties calculated at the PBEsol level.

Cell lengths 3.3536, 4.6011, 10.3322 Å; angles 90.00, 90.00, 90.00 degrees
Space group Imm2 (No. 44)
Inequivalent atoms, fractional coordinates:
Y 0.0000 0.0000 0.0000
Y 0.0000 0.5000 0.2205
Cr 0.0000 0.5000 0.8035
Fe 0.0000 0.0000 0.4244

ΔE_f: 0.257 eV/atom
Relative energy among the computed polymorphs: 0.0 meV/atom

[6]
Below is a geometry-optimized BaMo4Br structure, with properties calculated at the PBEsol level.

Cell lengths 7.7891, 7.7891, 7.7891 Å; angles 90.00, 90.00, 90.00 degrees
Space group F-43m (No. 216)
Inequivalent atoms, fractional coordinates:
Ba 0.0000 0.0000 0.0000
Mo 0.1223 0.1223 0.6223
Br 0.2500 0.2500 0.2500

Formation energy without anion corrections: 25.937 kcal/mol of atoms

[7]
Below is a geometry-optimized ErAsS structure, with properties calculated at the PBEsol level.

Cell lengths 6.8845, 3.7005, 9.3103 Å; angles 90.00, 90.00, 90.00 degrees
Space group Pnma (No. 62)
Inequivalent atoms, fractional coordinates:
Er 0.2069 0.2500 0.1600
As 0.1070 0.2500 0.4581
S 0.0867 0.2500 0.8412

Formation energy without anion corrections: -35.134 kcal/mol of atoms

[8]
Below is a geometry-optimized ZnFe2Co structure, with properties calculated at the PBEsol level.

Cell lengths 2.4524, 3.9671, 4.7468 Å; angles 90.00, 100.36, 90.00 degrees
Space group Pm (No. 6)
Inequivalent atoms, fractional coordinates:
Zn 0.0000 0.0000 0.0000
Fe 0.3009 0.5000 0.7505
Fe 0.5324 0.0000 0.4952
Co 0.7681 0.5000 0.2635

ΔE_f: 0.045 eV/atom